VASP calculation (PBE) on crystalline Ca6Zn5Cd at its relaxed geometry.

a = 5.272 Å, b = 7.351 Å, c = 8.312 Å
α = 90.00°, β = 71.51°, γ = 90.00°
Element x y z (fractional)
Cd (0.000, 0.000, 0.000)
Zn (0.336, 0.000, 0.328)
Zn (0.664, 0.000, 0.672)
Zn (0.666, 0.500, 0.668)
Zn (0.000, 0.500, 0.000)
Zn (0.334, 0.500, 0.332)
Ca (0.831, 0.253, 0.339)
Ca (0.500, 0.744, 0.000)
Ca (0.169, 0.747, 0.661)
Ca (0.831, 0.747, 0.339)
Ca (0.169, 0.253, 0.661)
Ca (0.500, 0.256, 0.000)

Output
- Formation energy from the elements: -0.25 eV/atom